! GGA-PBEsol GaP2O, optimized geometry; values from VASP
&SYSTEM
  ibrav = 0, nat = 8, ntyp = 3
/
ATOMIC_SPECIES
O 16.00 O.upf
P 30.97 P.upf
Ga 69.72 Ga.upf
ATOMIC_POSITIONS angstrom
O 2.237 2.237 0.000
P 1.119 0.612 4.667
P -1.119 -0.612 4.667
P 2.849 1.119 1.556
O 2.237 0.000 3.111
Ga 0.000 2.237 3.111
P 1.625 3.356 1.556
Ga 0.000 0.000 0.000
CELL_PARAMETERS angstrom
4.474 0.000 0.000
0.000 4.474 0.000
-2.237 -2.237 6.223
! E_form (uncorrected) ... 0.17 eV per formula unit
! Raw total energy ... -5.00 eV/atom
! Space-group type ... I-42d, No. 122
! Total moment ... 0.00 μB/cell
! DOS(E_F) ... 2.12 states/eV/f.u.